Computed, not measured: a relaxed K2NbH4 crystal at the PBE level of DFT.

It has space group I4/mmm (No. 139), with a = 4.048 Å, b = 4.048 Å, c = 13.648 Å, α = 90.00°, β = 90.00° and γ = 90.00°. The distinct sites, in fractional coordinates, are K at (0.000, 0.000, 0.150), Nb at (0.000, 0.000, 0.500), H at (0.000, 0.000, 0.354) and H at (0.000, 0.500, 0.000).

Its total energy is -3.678 eV per atom. As for the volume: 15.97 Å³/atom.